ErCr2IrO8 | GGA+U | optimized geometry

a = 4.7001 Å, b = 4.6903 Å, c = 6.2788 Å
α = 90.00°, β = 90.00°, γ = 89.43°
Last column: magnetic moment on the atom in μB.
Positions (direct):
Cr (0.5000, 0.5000, 0.7482)  2.72
Cr (0.5000, 0.5000, 0.2518)  2.72
O (0.3241, 0.3217, 0.5000)  -0.15
O (0.2048, 0.7928, 0.7792)  -0.15
O (0.6759, 0.6783, 0.5000)  -0.15
O (0.2048, 0.7928, 0.2208)  -0.15
O (0.7952, 0.2072, 0.7792)  -0.15
O (0.2954, 0.2933, 0.0000)  -0.05
O (0.7046, 0.7067, 0.0000)  -0.05
O (0.7952, 0.2072, 0.2208)  -0.15
Er (0.0000, 0.0000, 0.5000)  0.00
Ir (0.0000, 0.0000, 0.0000)  -0.65

Summary:
Space-group type: P2/m
Total energy: -7.376 eV per atom
N(E_F): 0.43 states/eV/atom
ρ: 7.10 g cm⁻³